Entry 1:
A plane-wave DFT calculation with PBE was carried out for a geometry-optimized Ac2GeTe structure.

POSCAR file:
```
Ac2GeTe
1.0
5.6707 0.0000 0.0000
2.8353 4.9109 0.0000
2.8353 1.6370 4.6301
Ac Te Ge
2 1 1
direct
0.2500 0.2500 0.2500 Ac
0.7500 0.7500 0.7500 Ac
0.0000 0.0000 0.0000 Te
0.5000 0.5000 0.5000 Ge
```

Summary:
* space-group type: No. 225
* E_tot: -19.6 eV/f.u.
* formation energy (no corrections): -0.914 eV/atom

---

Entry 2:
A plane-wave DFT calculation with PBE was carried out for a geometry-optimized Ac6GeTe12 structure.

POSCAR file:
```
Ac6GeTe12
1.0
9.2429 0.0792 0.0949
-1.3230 9.1481 0.0949
-1.3230 -1.5413 9.0178
Ac Ge Te
6 1 12
direct
0.6807 0.8656 0.3522 Ac
0.6478 0.3193 0.1344 Ac
0.1344 0.6478 0.3193 Ac
0.3193 0.1344 0.6478 Ac
0.3522 0.6807 0.8656 Ac
0.8656 0.3522 0.6807 Ac
0.0000 0.0000 0.0000 Ge
0.8136 0.5677 0.4251 Te
0.4251 0.8136 0.5677 Te
0.5677 0.4251 0.8136 Te
0.1863 0.4323 0.5749 Te
0.5749 0.1863 0.4323 Te
0.4323 0.5749 0.1863 Te
0.0392 0.9967 0.3328 Te
0.0033 0.6672 0.9608 Te
0.6672 0.9608 0.0033 Te
0.9608 0.0033 0.6672 Te
0.9967 0.3328 0.0392 Te
0.3328 0.0392 0.9967 Te
```

Summary:
* space-group type: No. 148
* E_tot: -89.0 eV/f.u.
* formation energy (no corrections): -1.159 eV/atom

---

Entry 3:
A plane-wave DFT calculation with PBE was carried out for a geometry-optimized Ac4GeTe3 structure.

POSCAR file:
```
Ac4GeTe3
1.0
6.6599 0.0000 0.0000
0.0000 6.6599 0.0000
-3.3300 -3.3300 6.6894
Ac Ge Te
4 1 3
direct
0.7641 0.7641 0.5283 Ac
0.2359 0.2359 0.4717 Ac
0.5000 0.0000 0.0000 Ac
0.0000 0.5000 0.0000 Ac
0.0000 0.0000 0.0000 Ge
0.5000 0.5000 0.0000 Te
0.7500 0.2500 0.5000 Te
0.2500 0.7500 0.5000 Te
```

Summary:
* space-group type: No. 139
* E_tot: -41.5 eV/f.u.
* formation energy (no corrections): -1.375 eV/atom

---

Entry 4:
A plane-wave DFT calculation with PBE was carried out for a geometry-optimized Ac2GeTe structure.

POSCAR file:
```
Ac2GeTe
1.0
-3.9651 1.0117 2.2122
2.6489 -3.5296 1.4712
7.8873 9.9207 9.6000
Ac Ge Te
4 2 2
direct
0.3333 0.6667 0.3906 Ac
0.6667 0.3333 0.8906 Ac
0.6667 0.3333 0.6094 Ac
0.3333 0.6667 0.1094 Ac
0.0000 0.0000 0.5000 Ge
0.0000 0.0000 0.0000 Ge
0.6667 0.3333 0.2500 Te
0.3333 0.6667 0.7500 Te
```

Summary:
* space-group type: No. 194
* E_tot: -20.7 eV/f.u.
* formation energy (no corrections): -1.173 eV/atom

---

Entry 5:
A plane-wave DFT calculation with PBE was carried out for a geometry-optimized Ac5GeTe5 structure.

POSCAR file:
```
Ac5GeTe5
1.0
-3.3225 1.9266 -5.4394
-2.3385 -7.3276 2.9086
-4.5158 6.5246 5.0693
Ac Ge Te
5 1 5
direct
0.8449 0.6898 0.1645 Ac
0.8420 0.6840 0.6780 Ac
0.5000 0.0000 0.0000 Ac
0.1580 0.3160 0.3220 Ac
0.1551 0.3102 0.8355 Ac
0.0000 0.0000 0.0000 Ge
0.6737 0.3473 0.3332 Te
0.6681 0.3363 0.8335 Te
0.0000 0.0000 0.5000 Te
0.3319 0.6637 0.1665 Te
0.3263 0.6527 0.6668 Te
```

Summary:
* space-group type: No. 12
* E_tot: -56.6 eV/f.u.
* formation energy (no corrections): -1.434 eV/atom

---

Entry 6:
A plane-wave DFT calculation with PBE was carried out for a geometry-optimized Ac3GeTe2 structure.

POSCAR file:
```
Ac3GeTe2
1.0
-3.4386 0.0350 3.1782
-3.3240 -4.5301 -3.5466
6.6536 -2.9703 3.7821
Ac Ge Te
3 1 2
direct
0.3501 0.3501 0.7001 Ac
0.0000 0.0000 0.0000 Ac
0.6499 0.6499 0.2999 Ac
0.0000 0.5000 0.0000 Ge
0.6719 0.1719 0.3438 Te
0.3281 0.8281 0.6562 Te
```

Summary:
* space-group type: No. 71
* E_tot: -31.2 eV/f.u.
* formation energy (no corrections): -1.337 eV/atom

---

Entry 7:
A plane-wave DFT calculation with PBE was carried out for a geometry-optimized Ac6TlGe2Te3 structure.

POSCAR file:
```
Ac6TlGe2Te3
1.0
-1.2159 3.7317 2.5198
-6.0726 -5.4270 5.1068
9.5245 -2.4801 3.9525
Ac Tl Ge Te
6 1 2 3
direct
0.3322 0.8960 0.6644 Ac
0.6731 0.5680 0.3462 Ac
0.6678 0.1040 0.3356 Ac
0.0078 0.2546 0.0155 Ac
0.9922 0.7454 0.9845 Ac
0.3269 0.4320 0.6538 Ac
0.5000 0.0000 0.0000 Tl
0.8329 0.6657 0.6657 Ge
0.1671 0.3343 0.3343 Ge
0.5000 0.5000 0.0000 Te
0.8350 0.1679 0.6699 Te
0.1650 0.8321 0.3301 Te
```

Summary:
* space-group type: No. 12
* E_tot: -58.7 eV/f.u.
* formation energy (no corrections): -1.081 eV/atom

---

Entry 8:
A plane-wave DFT calculation with PBE was carried out for a geometry-optimized Ac8ZnGe3Te4 structure.

POSCAR file:
```
Ac8ZnGe3Te4
1.0
9.3178 0.0000 0.0000
0.0000 9.4676 0.0986
-4.6589 -4.6540 6.5923
Ac Zn Ge Te
8 1 3 4
direct
0.2464 0.7286 0.9822 Ac
0.2465 0.7287 0.4929 Ac
0.2589 0.2766 0.5177 Ac
0.7358 0.7286 0.9822 Ac
0.2642 0.2714 0.0178 Ac
0.7411 0.7234 0.4823 Ac
0.7535 0.2713 0.5071 Ac
0.7536 0.2714 0.0178 Ac
0.0000 0.5000 0.0000 Zn
0.5000 0.5000 0.0000 Ge
0.5000 0.5000 0.5000 Ge
0.0000 0.5000 0.5000 Ge
0.5000 0.0000 0.0000 Te
0.5000 0.0000 0.5000 Te
0.0000 0.0000 0.0000 Te
0.0000 0.0000 0.5000 Te
```

Summary:
* space-group type: No. 166
* E_tot: -77.9 eV/f.u.
* formation energy (no corrections): -1.085 eV/atom

---

Entry 9:
A plane-wave DFT calculation with PBE was carried out for a geometry-optimized AcTh2Ge6 structure.

POSCAR file:
```
AcTh2Ge6
1.0
-3.3544 0.5171 -2.3971
-5.9081 -4.1684 3.7672
-5.2024 4.2717 4.6002
Ac Th Ge
1 2 6
direct
0.0000 0.0000 0.0000 Ac
0.8676 0.6324 0.6324 Th
0.1324 0.3676 0.3676 Th
0.6895 0.0359 0.5850 Ge
0.3105 0.9641 0.4150 Ge
0.3105 0.4150 0.9641 Ge
0.5000 0.7007 0.2993 Ge
0.5000 0.2993 0.7007 Ge
0.6895 0.5850 0.0359 Ge
```

Summary:
* space-group type: No. 71
* DFT formation energy: -0.410 eV/atom
* E_tot: -50.3 eV/f.u.

---

Entry 10:
A plane-wave DFT calculation with PBE was carried out for a geometry-optimized AcTh2Ge structure.

POSCAR file:
```
AcTh2Ge
1.0
4.0318 0.0000 0.0000
2.0159 3.4917 0.0000
2.0159 1.1639 9.7221
Ac Th Ge
1 2 1
direct
0.4996 0.4996 0.5013 Ac
0.0623 0.0623 0.8132 Th
0.2713 0.2713 0.1861 Th
0.6669 0.6669 0.9994 Ge
```

Summary:
* space-group type: No. 160
* DFT formation energy: -0.193 eV/atom
* E_tot: -24.3 eV/f.u.

---

Entry 11:
A plane-wave DFT calculation with PBE was carried out for a geometry-optimized AcTh2Ge structure.

POSCAR file:
```
AcTh2Ge
1.0
4.9556 0.0000 0.0000
0.0000 4.9196 0.0000
0.0000 0.0000 4.9196
Ac Ge Th
1 1 2
direct
0.5000 0.0000 0.0000 Ac
0.5000 0.5000 0.5000 Ge
0.0000 0.0000 0.5000 Th
0.0000 0.5000 0.0000 Th
```

Summary:
* space-group type: No. 123
* DFT formation energy: -0.132 eV/atom
* E_tot: -24.1 eV/f.u.

---

Entry 12:
A plane-wave DFT calculation with PBE was carried out for a geometry-optimized Ac2ThGe structure.

POSCAR file:
```
Ac2ThGe
1.0
3.7541 0.0000 0.0000
1.8770 3.2511 0.0000
1.8770 1.0837 11.8856
Ac Ge Th
2 1 1
direct
0.1020 0.1020 0.6939 Ac
0.8980 0.8980 0.3061 Ac
0.5000 0.5000 0.5000 Ge
0.0000 0.0000 0.0000 Th
```

Summary:
* space-group type: No. 166
* DFT formation energy: 0.166 eV/atom
* E_tot: -19.6 eV/f.u.

---

| no. | D(E_F) (states/eV per cell) |
| --- | --- |
| 1 | 1.6 |
| 2 | 16.3 |
| 3 | 2.4 |
| 4 | 2.1 |
| 5 | 3.4 |
| 6 | 2.2 |
| 7 | 8.5 |
| 8 | 8.7 |
| 9 | 5.4 |
| 10 | 3.9 |
| 11 | 4.1 |
| 12 | 5.2 |